CdTc3W: optimized geometry, PBE-GGA.

Cell lengths 4.6787, 4.6787, 4.6787 Å; angles 90.00, 90.00, 90.00 degrees
Closest atoms and distances in Å follow each position.
Space group Pm-3m (No. 221)
Unique sites:
Cd  0.0000  0.0000  0.0000 x1  6 Tc 2.34
Tc  0.0000  0.0000  0.5000 x3  2 Cd 2.34
W  0.5000  0.5000  0.5000 x1  12 Tc 3.31

As for the calculated total energy: -6.142 eV per atom. The calculation puts the energy above the most stable polymorph in this dataset at 1277 meV/atom. The density of states at the Fermi level is 9.29 states/eV/cell. For the energy of formation, the calculation gives 2.851 eV per atom.



Ag2HgP: optimized geometry, PBE-GGA.

Cell lengths 8.5402, 3.0727, 6.0237 Å; angles 90.00, 101.75, 90.00 degrees
Closest atoms and distances in Å follow each position.
Space group C2/m (No. 12)
Unique sites:
Ag  0.2432  0.0000  0.2161 x4  3 P 2.70-2.77, 3 Hg 2.93-2.95
Hg  0.0000  0.0000  0.5000 x2  6 Ag 2.93-2.95, 2 Hg 3.07
P  0.0000  0.5000  0.0000 x2  6 Ag 2.70-2.77

As for the calculated total energy: -2.575 eV per atom. The calculation puts the energy above the most stable polymorph in this dataset at 27 meV/atom. The density of states at the Fermi level is 2.64 states/eV/cell. For the energy of formation, the calculation gives 0.279 eV per atom.



Th2TlRh: optimized geometry, PBE-GGA.

Cell lengths 6.9965, 4.0368, 8.6514 Å; angles 90.00, 105.56, 90.00 degrees
Closest atoms and distances in Å follow each position.
Space group C2/m (No. 12)
Unique sites:
Th  0.2321  0.0000  0.1981 x4  3 Rh 2.86
Tl  0.0000  0.0000  0.5000 x2  6 Th 3.43
Rh  0.0000  0.5000  0.0000 x2  6 Th 2.86

As for the calculated total energy: -6.595 eV per atom. The calculation puts the energy above the most stable polymorph in this dataset at 0 meV/atom. The density of states at the Fermi level is 10.12 states/eV/cell. For the energy of formation, the calculation gives -0.456 eV per atom.



TiS2O: optimized geometry, PBE-GGA.

Cell lengths 3.4462, 3.4462, 18.8971 Å; angles 90.00, 90.00, 120.00 degrees
Closest atoms and distances in Å follow each position.
Space group R-3m (No. 166, hexagonal axes)
Unique sites:
Ti  0.0000  0.0000  0.0000 x3  6 S 2.43
S  0.0000  0.0000  0.4068 x6  1 O 1.76
O  0.0000  0.0000  0.5000 x3  2 S 1.76

As for the calculated total energy: -6.032 eV per atom. The density of states at the Fermi level is 1.27 states/eV/cell. As for the formation energy (no corrections): -0.755 eV/atom.



- Which of these has the lowest calculated total energy?
  Th2TlRh



Copy entry 1 word for word.
CdTc3W: optimized geometry, PBE-GGA.

Cell lengths 4.6787, 4.6787, 4.6787 Å; angles 90.00, 90.00, 90.00 degrees
Closest atoms and distances in Å follow each position.
Space group Pm-3m (No. 221)
Unique sites:
Cd  0.0000  0.0000  0.0000 x1  6 Tc 2.34
Tc  0.0000  0.0000  0.5000 x3  2 Cd 2.34
W  0.5000  0.5000  0.5000 x1  12 Tc 3.31

As for the calculated total energy: -6.142 eV per atom. The calculation puts the energy above the most stable polymorph in this dataset at 1277 meV/atom. The density of states at the Fermi level is 9.29 states/eV/cell. For the energy of formation, the calculation gives 2.851 eV per atom.



- What is the formula in the fourth record?
  TiS2O